No. 1
! GGA-PBE DyErHgRh, optimized geometry; values from VASP
&SYSTEM
  ibrav = 0, nat = 4, ntyp = 4
/
ATOMIC_SPECIES
Dy 162.50 Dy.upf
Er 167.26 Er.upf
Hg 200.59 Hg.upf
Rh 102.91 Rh.upf
CELL_PARAMETERS angstrom
3.4843 0.0000 0.0000
0.0000 3.4843 0.0000
0.0000 0.0000 7.4721
ATOMIC_POSITIONS crystal
Dy 0.5000 0.5000 0.7916
Er 0.5000 0.5000 0.3507
Hg 0.0000 0.0000 0.0747
Rh 0.0000 0.0000 0.5677
! energy above the lowest structure with this stoichiometry	0.0	meV per atom
! calculated density	11.6	Mg/m³

---

No. 2
! GGA-PBE DyErHgRu, optimized geometry; values from VASP
&SYSTEM
  ibrav = 0, nat = 4, ntyp = 4
/
ATOMIC_SPECIES
Dy 162.50 Dy.upf
Er 167.26 Er.upf
Hg 200.59 Hg.upf
Ru 101.07 Ru.upf
CELL_PARAMETERS angstrom
-0.7203 -1.2099 3.1604
0.2791 -3.2415 -1.1773
7.3029 0.0213 1.6727
ATOMIC_POSITIONS crystal
Dy 0.5000 0.5000 0.7910
Er 0.5000 0.5000 0.3509
Hg 0.0000 0.0000 0.0746
Ru 0.0000 0.0000 0.5682
! energy above the lowest structure with this stoichiometry	0.0	meV per atom
! calculated density	11.7	Mg/m³

---

No. 3
! GGA-PBE DyErHgRu, optimized geometry; values from VASP
&SYSTEM
  ibrav = 0, nat = 4, ntyp = 4
/
ATOMIC_SPECIES
Ru 101.07 Ru.upf
Dy 162.50 Dy.upf
Hg 200.59 Hg.upf
Er 167.26 Er.upf
CELL_PARAMETERS angstrom
-2.1118 3.7767 -2.5180
-4.9660 0.1269 -0.6217
-2.7413 3.4088 2.4350
ATOMIC_POSITIONS crystal
Ru 0.0000 0.0000 0.0000
Dy 0.2500 0.2500 0.2500
Hg 0.5000 0.5000 0.5000
Er 0.7500 0.7500 0.7500
! energy above the lowest structure with this stoichiometry	129.4	meV per atom
! calculated density	11.8	Mg/m³

---

No. 4
! GGA-PBE DyErScHg, optimized geometry; values from VASP
&SYSTEM
  ibrav = 0, nat = 4, ntyp = 4
/
ATOMIC_SPECIES
Sc 44.96 Sc.upf
Dy 162.50 Dy.upf
Hg 200.59 Hg.upf
Er 167.26 Er.upf
CELL_PARAMETERS angstrom
5.2889 0.0000 0.0000
2.6445 4.5803 0.0000
2.6445 1.5268 4.3184
ATOMIC_POSITIONS crystal
Sc 0.0000 0.0000 0.0000
Dy 0.2500 0.2500 0.2500
Hg 0.5000 0.5000 0.5000
Er 0.7500 0.7500 0.7500
! calculated density	9.1	Mg/m³

---

no.,uncorrected energy (eV/atom)
1,-4.915
2,-5.188
3,-5.058
4,-4.025